# 1
{
  "formula": "CaSmGaIr",
  "functional": "GGA-PBE",
  "state": "optimized geometry",
  "e_above_lowest_polymorph_kcal_per_mol_atoms": 2.95,
  "sg": "F-43m (216)",
  "e_form_mev_per_atom": -463,
  "n_ef_per_ev_fu": 2.4,
  "lattice_angstrom": [[0.000, 3.540, 3.540], [3.540, 0.000, 3.540], [3.540, 3.540, 0.000]],
  "species": ["Ca", "Sm", "Ga", "Ir"],
  "frac_coords": [[0.000, 0.000, 0.000], [0.500, 0.500, 0.500], [0.250, 0.250, 0.250], [0.750, 0.750, 0.750]]
}

# 2
{
  "formula": "CaSmGa2Ir2",
  "functional": "GGA-PBE",
  "state": "optimized geometry",
  "sg": "P-3m1 (164)",
  "e_form_mev_per_atom": -649,
  "n_ef_per_ev_fu": 2.8,
  "lattice_angstrom": [[4.333, 0.000, 0.000], [-2.166, 3.752, 0.000], [0.000, 0.000, 7.754]],
  "species": ["Ca", "Sm", "Ga", "Ga", "Ir", "Ir"],
  "frac_coords": [[0.000, 0.000, 0.000], [0.000, 0.000, 0.500], [0.333, 0.667, 0.751], [0.667, 0.333, 0.249], [0.333, 0.667, 0.263], [0.667, 0.333, 0.737]]
}

# 3
{
  "formula": "SrCaGaIr",
  "functional": "GGA-PBE",
  "state": "optimized geometry",
  "sg": "R3m (160)",
  "e_form_mev_per_atom": -461,
  "n_ef_per_ev_fu": 2.9,
  "lattice_angstrom": [[2.163, 1.249, 7.623], [-2.163, 1.249, 7.623], [0.000, -2.498, 7.623]],
  "species": ["Sr", "Ca", "Ga", "Ir"],
  "frac_coords": [[0.000, 0.000, 0.000], [0.828, 0.828, 0.828], [0.241, 0.241, 0.241], [0.575, 0.575, 0.575]]
}

# 4
{
  "formula": "CaGa2TeIr",
  "functional": "GGA-PBE",
  "state": "optimized geometry",
  "formation_energy_uncorrected_mev_per_atom": -532,
  "sg": "P4/mmm (123)",
  "n_ef_per_ev_fu": 2.4,
  "lattice_angstrom": [[4.797, 0.000, 0.000], [0.000, 4.797, 0.000], [0.000, 0.000, 5.682]],
  "species": ["Ca", "Ga", "Ga", "Te", "Ir"],
  "frac_coords": [[0.000, 0.000, 0.000], [0.000, 0.500, 0.500], [0.500, 0.000, 0.500], [0.500, 0.500, 0.000], [0.000, 0.000, 0.500]]
}

# 5
{
  "formula": "CaThGaIr",
  "functional": "GGA-PBE",
  "state": "optimized geometry",
  "sg": "F-43m (216)",
  "e_form_mev_per_atom": -471,
  "n_ef_per_ev_fu": 4.1,
  "lattice_angstrom": [[0.000, 3.581, 3.581], [3.581, 0.000, 3.581], [3.581, 3.581, 0.000]],
  "species": ["Ca", "Th", "Ga", "Ir"],
  "frac_coords": [[0.000, 0.000, 0.000], [0.500, 0.500, 0.500], [0.750, 0.750, 0.750], [0.250, 0.250, 0.250]]
}

# 6
{
  "formula": "CaTiGaIr2",
  "functional": "GGA-PBE",
  "state": "optimized geometry",
  "sg": "I-4m2 (119)",
  "e_form_mev_per_atom": -670,
  "n_ef_per_ev_fu": 2.9,
  "lattice_angstrom": [[-2.058, 2.058, 5.612], [2.058, -2.058, 5.612], [2.058, 2.058, -5.612]],
  "species": ["Ca", "Ti", "Ga", "Ir", "Ir"],
  "frac_coords": [[0.000, 0.000, 0.000], [0.250, 0.750, 0.500], [0.750, 0.250, 0.500], [0.386, 0.386, 0.000], [0.614, 0.614, 0.000]]
}

Computed final energy (eV/atom) in order:
-5.115; -5.731; -4.353; -4.544; -5.799; -6.799